[1]
BaBrF, relaxed, DFT PBE; space-group type = P4/nmm (129); formation energy without anion corrections = -3.091 eV/atom; energy relative to the lowest polymorph listed for this composition = 0 meV per atom; VASP energy = -4.9136 eV/atom
1.0
4.562 0.000 0.000
0.000 4.562 0.000
0.000 0.000 7.617
Ba Br F
2 2 2
Cartesian
1.140 1.140 1.462
3.421 3.421 6.155
1.140 1.140 4.938
3.421 3.421 2.679
1.140 3.421 0.000
3.421 1.140 0.000



[2]
ZrSb4P, relaxed, DFT PBE; space-group type = F-43m (216); formation energy without anion corrections = 0.550 eV/atom; VASP energy = -4.5243 eV/atom
1.0
0.000 4.275 4.275
4.275 0.000 4.275
4.275 4.275 0.000
Zr Sb P
1 4 1
Cartesian
0.000 0.000 0.000
3.211 3.211 3.211
5.340 5.340 3.211
5.340 3.211 5.340
3.211 5.340 5.340
6.413 6.413 6.413